1.
VASP calculation (PBE-GGA) on a geometry-optimized CuPPt2 structure.

Computed properties:
ΔH_f (0 K) ... -0.160 eV per atom
Energy relative to the lowest polymorph listed for this composition ... 25 meV/atom
Calculated volume ... 14.90 A^3/atom

a = 3.8615 Å, b = 2.8078 Å, c = 5.4963 Å
α = 89.95°, β = 90.00°, γ = 90.00°
Fractional positions:
Cu 0.5000 0.2500 0.2500
P 0.5000 0.7500 0.7500
Pt 0.0000 0.7501 0.0051
Pt 0.0000 0.7499 0.4949

2.
VASP calculation (PBE-GGA) on a geometry-optimized VAsAuSe2 structure.

Computed properties:
Energy relative to the lowest polymorph listed for this composition ... 0 meV/atom
Formation energy from raw total energies ... 0.27 eV per atom
Calculated volume ... 21.80 A^3/atom

a = 4.7140 Å, b = 4.7140 Å, c = 4.9054 Å
α = 90.00°, β = 90.00°, γ = 90.00°
Fractional positions:
As 0.0000 0.0000 0.5000
Au 0.5000 0.5000 0.5000
Se 0.0000 0.5000 0.0000
Se 0.5000 0.0000 0.0000
V 0.0000 0.0000 0.0000

3.
VASP calculation (PBE-GGA) on a geometry-optimized InOs2Se structure.

Computed properties:
Energy relative to the lowest polymorph listed for this composition ... 592 meV/atom
Formation energy from raw total energies ... 0.91 eV per atom
Calculated volume ... 16.86 A^3/atom

a = 4.9010 Å, b = 4.9010 Å, c = 4.9010 Å
α = 130.00°, β = 130.00°, γ = 73.41°
Fractional positions:
In 0.7500 0.2500 0.5000
Os 0.0000 0.0000 0.0000
Os 0.2500 0.7500 0.5000
Se 0.5000 0.5000 0.0000

4.
VASP calculation (PBE-GGA) on a geometry-optimized SrMnMo structure.

Computed properties:
ΔH_f (0 K) ... 1.262 eV per atom
Energy relative to the lowest polymorph listed for this composition ... 636 meV/atom
Calculated volume ... 24.39 A^3/atom

a = 4.6951 Å, b = 4.6951 Å, c = 4.6951 Å
α = 60.00°, β = 60.00°, γ = 60.00°
Last column: magnetic moment on the atom in μB.
Fractional positions:
Mn 0.7500 0.7500 0.7500  3.19
Mo 0.0000 0.0000 0.0000  -2.07
Sr 0.5000 0.5000 0.5000  0.00

5.
VASP calculation (PBE-GGA) on a geometry-optimized NpScSe4 structure.

Computed properties:
Formation energy from raw total energies ... -1.10 eV per atom
Calculated volume ... 27.60 A^3/atom

a = 6.3453 Å, b = 6.7995 Å, c = 7.6750 Å
α = 90.00°, β = 90.00°, γ = 90.00°
Last column: magnetic moment on the atom in μB.
Fractional positions:
Np 0.0000 0.0000 0.8618  2.87
Np 0.5000 0.0000 0.3618  2.87
Sc 0.0000 0.5000 0.1391  -0.02
Sc 0.5000 0.5000 0.6391  -0.02
Se 0.2446 0.8189 0.1122  -0.15
Se 0.2407 0.3293 0.8874  -0.15
Se 0.2593 0.3293 0.3874  -0.15
Se 0.2554 0.8189 0.6122  -0.15
Se 0.7407 0.6707 0.3874  -0.15
Se 0.7446 0.1811 0.6122  -0.15
Se 0.7554 0.1811 0.1122  -0.15
Se 0.7593 0.6707 0.8874  -0.15

6.
VASP calculation (PBE-GGA) on a geometry-optimized Tb4Ho5Tl structure.

Computed properties:
ΔH_f (0 K) ... 0.046 eV per atom
Energy relative to the lowest polymorph listed for this composition ... 0 meV/atom
Calculated volume ... 30.65 A^3/atom

a = 4.1107 Å, b = 4.1107 Å, c = 18.1397 Å
α = 90.00°, β = 90.00°, γ = 90.00°
Fractional positions:
Tb 0.0000 0.0000 0.1980
Tb 0.0000 0.0000 0.3988
Tb 0.0000 0.0000 0.6012
Tb 0.0000 0.0000 0.8020
Ho 0.5000 0.5000 0.0907
Ho 0.5000 0.5000 0.2954
Ho 0.5000 0.5000 0.5000
Ho 0.5000 0.5000 0.7046
Ho 0.5000 0.5000 0.9093
Tl 0.0000 0.0000 0.0000

7.
VASP calculation (PBE-GGA) on a geometry-optimized Ta2FeSe structure.

Computed properties:
Formation energy from raw total energies ... 0.16 eV per atom
Calculated volume ... 15.92 A^3/atom

a = 3.2877 Å, b = 4.6726 Å, c = 4.1446 Å
α = 90.00°, β = 90.00°, γ = 90.00°
Last column: magnetic moment on the atom in μB.
Fractional positions:
Fe 0.5000 0.0000 0.5000  1.19
Se 0.0000 0.5000 0.5000  0.00
Ta 0.0000 0.0000 0.0000  -0.17
Ta 0.5000 0.5000 0.0000  0.02

8.
VASP calculation (PBE-GGA) on a geometry-optimized Li2LaGeO structure.

Computed properties:
Energy relative to the lowest polymorph listed for this composition ... 90 meV/atom
Formation energy from raw total energies ... -1.28 eV per atom
Calculated volume ... 18.10 A^3/atom

a = 4.3278 Å, b = 4.3278 Å, c = 4.8314 Å
α = 90.00°, β = 90.00°, γ = 90.00°
Fractional positions:
Ge 0.5000 0.5000 0.5000
Li 0.0000 0.5000 0.0000
Li 0.5000 0.0000 0.0000
O 0.0000 0.0000 0.0000
La 0.0000 0.0000 0.5000

| no. | raw total energy (eV/atom) |
| --- | --- |
| 1 | -5.56 |
| 2 | -4.53 |
| 3 | -6.26 |
| 4 | -5.97 |
| 5 | -6.64 |
| 6 | -4.33 |
| 7 | -8.76 |
| 8 | -4.95 |